[1]
Below is a geometry-optimized La2Al3CoNi12 structure, with properties calculated at the PBE level.

Output
As for the formation enthalpy at 0 K: -0.9 kJ/mol of atoms. As for the space group: R-3m, No. 166. The calculation puts the total magnetization at 2.6 μB per formula unit.

a b c (Å): 9.1057 9.1057 9.1057
angles (deg): 39.20 39.20 39.20
With the nearest neighbours (Å) after each atom.
Element x y z (fractional)
1 Ni 0.0654 0.0654 0.6555  1 Co 2.30, 4 Ni 2.41-2.50, 1 Al 2.42
2 Al 0.0000 0.5000 0.0000  6 Ni 2.34-2.42
3 La 0.6583 0.6583 0.6583  6 Ni 2.89-3.07
4 Ni 0.9346 0.9346 0.3445  1 Co 2.30, 4 Ni 2.41-2.50, 1 Al 2.42
5 Ni 0.4184 0.4184 0.8117  2 Al 2.34, 4 Ni 2.40-2.41
6 Al 0.0000 0.0000 0.5000  6 Ni 2.34-2.42
7 Ni 0.3445 0.9346 0.9346  1 Co 2.30, 4 Ni 2.41-2.50, 1 Al 2.42
8 Co 0.0000 0.0000 0.0000  6 Ni 2.30
9 Ni 0.5816 0.1883 0.5816  2 Al 2.34, 4 Ni 2.40-2.41
10 Ni 0.4184 0.8117 0.4184  2 Al 2.34, 4 Ni 2.40-2.41
11 Ni 0.0654 0.6555 0.0654  1 Co 2.30, 4 Ni 2.41-2.50, 1 Al 2.42
12 Ni 0.1883 0.5816 0.5816  2 Al 2.34, 4 Ni 2.40-2.41
13 Al 0.5000 0.0000 0.0000  6 Ni 2.34-2.42
14 Ni 0.5816 0.5816 0.1883  2 Al 2.34, 4 Ni 2.40-2.41
15 Ni 0.9346 0.3445 0.9346  1 Co 2.30, 4 Ni 2.41-2.50, 1 Al 2.42
16 Ni 0.6555 0.0654 0.0654  1 Co 2.30, 4 Ni 2.41-2.50, 1 Al 2.42
17 La 0.3417 0.3417 0.3417  6 Ni 2.89-3.07
18 Ni 0.8117 0.4184 0.4184  2 Al 2.34, 4 Ni 2.40-2.41

---

[2]
Below is a geometry-optimized RbHfHgBi2 structure, with properties calculated at the PBE level.

Output
As for the formation enthalpy at 0 K: -10.1 kJ/mol of atoms. As for the space group: P4/mmm, No. 123. The calculation puts the total magnetization at 0.0 μB per formula unit.

a b c (Å): 5.6825 5.6825 5.8322
angles (deg): 90.00 90.00 90.00
With the nearest neighbours (Å) after each atom.
Element x y z (fractional)
1 Hf 0.0000 0.0000 0.0000  4 Bi 2.84, 2 Hg 2.92
2 Bi 0.5000 0.0000 0.0000  2 Hf 2.84
3 Bi 0.0000 0.5000 0.0000  2 Hf 2.84
4 Rb 0.5000 0.5000 0.5000  4 Hg 4.02, 8 Bi 4.07
5 Hg 0.0000 0.0000 0.5000  2 Hf 2.92

---

[3]
Below is a geometry-optimized Pm3InTe structure, with properties calculated at the PBE level.

Output
As for the space group: Ama2, No. 40. The calculation puts the total magnetization at 0.0 μB per formula unit. For the relative energy among the computed polymorphs, the calculation gives 71 kJ/mol of formula units. The uncorrected formation energy comes out at -580 meV per atom.

a b c (Å): 5.1751 6.0123 10.5123
angles (deg): 106.62 90.00 90.00
With the nearest neighbours (Å) after each atom.
Element x y z (fractional)
1 Pm 0.7500 0.6564 0.0919  2 In 3.16, 2 Pm 3.18, 1 Te 3.36
2 Te 0.2500 0.0690 0.6581  7 Pm 3.12-3.38
3 Pm 0.7500 0.9958 0.4644  4 Te 3.12-3.38, 2 In 3.31
4 In 0.7500 0.5100 0.7287  6 Pm 3.09-3.38
5 Pm 0.2500 0.1956 0.1522  2 In 3.09-3.38, 2 Te 3.30
6 Pm 0.7500 0.0434 0.8478  2 In 3.09-3.38, 2 Te 3.30
7 Pm 0.2500 0.5645 0.9081  2 In 3.16, 2 Pm 3.18, 1 Te 3.36
8 Pm 0.2500 0.5313 0.5356  4 Te 3.12-3.38, 2 In 3.31
9 In 0.2500 0.7813 0.2713  6 Pm 3.09-3.38
10 Te 0.7500 0.4109 0.3419  7 Pm 3.12-3.38

---

[4]
Below is a geometry-optimized Dy4Ho2Tm7 structure, with properties calculated at the PBE level.

Output
As for the formation enthalpy at 0 K: 2.3 kJ/mol of atoms. As for the space group: P-1, No. 2. The calculation puts the total magnetization at 0.0 μB per formula unit.

a b c (Å): 9.2712 7.8310 6.0602
angles (deg): 97.43 96.25 65.08
With the nearest neighbours (Å) after each atom.
Element x y z (fractional)
1 Tm 0.0769 0.5384 0.7695  6 Tm 3.50-3.51, 5 Dy 3.50, 1 Ho 3.50
2 Dy 0.7691 0.3852 0.6923  7 Tm 3.50-3.51, 3 Ho 3.50-3.51, 2 Dy 3.51
3 Tm 0.5388 0.7698 0.3842  5 Tm 3.49-3.50, 4 Dy 3.49-3.51, 3 Ho 3.50-3.51
4 Dy 0.1540 0.0774 0.5382  8 Tm 3.49-3.51, 1 Ho 3.51, 3 Dy 3.51
5 Tm 0.4612 0.2302 0.6158  5 Tm 3.49-3.50, 4 Dy 3.49-3.51, 3 Ho 3.50-3.51
6 Ho 0.3845 0.6927 0.8463  7 Tm 3.50-3.51, 4 Dy 3.50-3.51, 1 Ho 3.51
7 Tm 0.0000 0.0000 0.0000  6 Dy 3.50-3.51, 4 Tm 3.50-3.51, 2 Ho 3.50
8 Tm 0.3081 0.1539 0.0769  7 Tm 3.49-3.51, 3 Dy 3.50, 2 Ho 3.50
9 Dy 0.8460 0.9226 0.4618  8 Tm 3.49-3.51, 1 Ho 3.51, 3 Dy 3.51
10 Tm 0.9231 0.4616 0.2305  6 Tm 3.50-3.51, 5 Dy 3.50, 1 Ho 3.50
11 Ho 0.6155 0.3073 0.1537  7 Tm 3.50-3.51, 4 Dy 3.50-3.51, 1 Ho 3.51
12 Dy 0.2309 0.6148 0.3077  7 Tm 3.50-3.51, 3 Ho 3.50-3.51, 2 Dy 3.51
13 Tm 0.6919 0.8461 0.9231  7 Tm 3.49-3.51, 3 Dy 3.50, 2 Ho 3.50

---

[5]
Below is a geometry-optimized CaFe2Pt structure, with properties calculated at the PBE level.

Output
As for the formation enthalpy at 0 K: 19.6 kJ/mol of atoms. As for the space group: C2/m, No. 12. The calculation puts the total magnetization at 5.3 μB per formula unit.

a b c (Å): 5.3302 5.0828 2.7864
angles (deg): 81.22 79.13 115.91
With the nearest neighbours (Å) after each atom.
Element x y z (fractional)
1 Ca 0.5000 0.0000 0.5000  2 Pt 2.71, 4 Fe 2.76, 2 Ca 2.79
2 Fe 0.0000 0.5000 0.5000  4 Fe 2.71-2.79, 2 Pt 2.76, 2 Ca 2.76
3 Fe 0.0000 0.0000 0.0000  4 Fe 2.71-2.79, 2 Ca 2.76, 2 Pt 2.76
4 Pt 0.5000 0.5000 0.0000  2 Ca 2.71, 4 Fe 2.76, 2 Pt 2.79

---

[6]
Below is a geometry-optimized LiReRh structure, with properties calculated at the PBE level.

Output
As for the formation enthalpy at 0 K: 11.0 kJ/mol of atoms. As for the space group: Imm2, No. 44. The calculation puts the total magnetization at 0.0 μB per formula unit. For the relative energy among the computed polymorphs, the calculation gives 8 kJ/mol of formula units.

a b c (Å): 4.5393 4.5393 4.5393
angles (deg): 145.59 128.91 63.06
With the nearest neighbours (Å) after each atom.
Element x y z (fractional)
1 Re 0.3281 0.3281 0.0000  5 Li 2.53-2.73, 5 Rh 2.65-2.67, 2 Re 2.69
2 Rh 0.6702 0.6702 0.0000  5 Li 2.56-2.71, 5 Re 2.65-2.67, 2 Rh 2.69
3 Li 0.0017 0.0017 0.0000  5 Re 2.53-2.73, 5 Rh 2.56-2.71, 2 Li 2.69